BaAs2CSe: relaxed, GGA-PBE.

The structure in POSCAR format:
```
BaAs2CSe
1.0
4.491 0.000 0.000
0.000 4.491 0.000
0.000 0.000 5.589
C As Ba Se
1 2 1 1
Direct
0.000 0.000 0.000
0.000 0.500 0.000
0.500 0.000 0.000
0.500 0.500 0.500
0.000 0.000 0.500
```

**E_tot**: -21.91 eV per cell
**Space-group type**: P4/mmm
**M_tot**: 0.0 μB/f.u.
**Offset from the most stable computed form**: 107 meV/atom
**Formation energy (no corrections)**: 0.405 eV/atom